Entry 1:
A geometry-optimized NaY2S3 structure. Source: Alexandria, functional PBE.

Properties
theoretical density	3.647	Mg/m³
calculated total energy	-6.3232	eV/atom
energy relative to the elements, uncorrected	-1885	meV/atom
magnetization	0.0	μB per formula unit
crystal system	hexagonal

Cell: 3.9341 3.9341 20.1769 Å, 90.00 90.00 120.00°
Closest atoms and distances in Å follow each position.
Space group P6_3/mmc (No. 194)
Symmetry-distinct sites (fractional):
Na 0.0000 0.0000 0.2500 [2 per cell]  6 S 2.95
Y 0.3333 0.6667 0.0811 [4 per cell]  6 S 2.73-2.80
S 0.0000 0.0000 0.0000 [2 per cell]  6 Y 2.80
S 0.3333 0.6667 0.6566 [4 per cell]  3 Y 2.73, 3 Na 2.95

---

Entry 2:
A geometry-optimized YTa5 structure. Source: Alexandria, functional PBE.

Properties
theoretical density	12.620	Mg/m³
calculated total energy	-10.6909	eV/atom
magnetization	0.0	μB per formula unit
crystal system	hexagonal
polymorph energy (0 for the lowest one)	0.0000	eV/atom
calculated formation energy	0.26	eV/atom

Cell: 5.8455 5.8455 4.4182 Å, 90.00 90.00 120.00°
Closest atoms and distances in Å follow each position.
Space group P6/mmm (No. 191)
Symmetry-distinct sites (fractional):
Y 0.0000 0.0000 0.0000 [1 per cell]  18 Ta 3.37-3.66
Ta 0.0000 0.5000 0.5000 [3 per cell]  8 Ta 2.78-2.92
Ta 0.3333 0.6667 0.0000 [2 per cell]  6 Ta 2.78

---

Entry 3:
A geometry-optimized ZrCr2Cl structure. Source: Alexandria, functional PBE.

Properties
theoretical density	5.449	Mg/m³
calculated total energy	-6.7302	eV/atom
energy relative to the elements, uncorrected	680	meV/atom
magnetization	6.1	μB per formula unit
crystal system	tetragonal
polymorph energy (0 for the lowest one)	0.7943	eV/atom

Cell: 3.9775 3.9775 8.8858 Å, 90.00 90.00 90.00°
Closest atoms and distances in Å follow each position.
Space group I-4m2 (No. 119)
Symmetry-distinct sites (fractional):
Zr 0.0000 0.0000 0.0000 [2 per cell]  8 Cr 2.81-2.98, 4 Cl 2.98
Cr 0.0000 0.0000 0.5000 [2 per cell]  4 Zr 2.81, 4 Cl 2.98, 4 Cr 2.98
Cr 0.0000 0.5000 0.2500 [2 per cell]  4 Cl 2.81, 4 Cr 2.98, 4 Zr 2.98
Cl 0.0000 0.5000 0.7500 [2 per cell]  8 Cr 2.81-2.98, 4 Zr 2.98

---

Entry 4:
A geometry-optimized Tb2Hg4Pb3 structure. Source: Alexandria, functional PBE.

Properties
theoretical density	12.016	Mg/m³
calculated total energy	-2.6620	eV/atom
magnetization	0.0	μB per formula unit
crystal system	monoclinic
calculated formation energy	-0.26	eV/atom

Cell: 10.3235 4.6397 10.4648 Å, 90.00 106.17 90.00°
Closest atoms and distances in Å follow each position.
Space group C2/m (No. 12)
Symmetry-distinct sites (fractional):
Tb 0.1551 0.0000 0.2110 [4 per cell]  7 Hg 3.25-3.39, 4 Pb 3.29-3.44
Hg 0.0102 0.5000 0.6773 [4 per cell]  6 Pb 3.26-3.54, 3 Tb 3.28-3.32, 2 Hg 3.34
Hg 0.1722 0.0000 0.8919 [4 per cell]  4 Tb 3.25-3.39, 4 Pb 3.26-3.44, 4 Hg 3.32-3.34
Pb 0.0000 0.5000 0.0000 [2 per cell]  8 Hg 3.26-3.41, 4 Tb 3.29
Pb 0.1698 0.0000 0.5628 [4 per cell]  6 Hg 3.26-3.54, 3 Pb 3.33-3.38, 3 Tb 3.44-3.64